# TlSn2Se

A relaxed TlSn2Se crystal (PBE-GGA, the Alexandria database).

a b c (Å): 3.9358 3.9358 7.2687
angles (deg): 90.00 90.00 90.00
Sites, in units of the cell vectors:
1 Sn 0.0000 0.0000 0.2032
2 Sn 0.0000 0.0000 0.7968
3 Tl 0.5000 0.5000 0.5000
4 Se 0.5000 0.5000 0.0000

* volume: 112.6 Å³/cell
* distance to the lowest polymorph of the same formula: 0.0000 eV/atom
* formation energy without anion corrections: -0.046 eV per atom
* space-group type: P4/mmm, No. 123